Computed, not measured: an optimized crystal structure of PuCr2PN at the GGA-PBE level of DFT.

* density of states at the Fermi level: 22.1 states/eV/cell
* SG: Cmcm
* uncorrected formation energy: -4.20 eV per formula unit

a = 5.5737 Å, b = 5.5737 Å, c = 7.0948 Å
α = 90.00°, β = 90.00°, γ = 143.18°
Sites, in units of the cell vectors:
Pu (0.0385, 0.9615, 0.7500)
Pu (0.9615, 0.0385, 0.2500)
Cr (0.3258, 0.6742, 0.5568)
Cr (0.3258, 0.6742, 0.9432)
Cr (0.6742, 0.3258, 0.0568)
Cr (0.6742, 0.3258, 0.4432)
P (0.2398, 0.7602, 0.2500)
P (0.7602, 0.2398, 0.7500)
N (0.5000, 0.5000, 0.0000)
N (0.5000, 0.5000, 0.5000)


Computed, not measured: an optimized crystal structure of LaPr6Sm2 at the GGA-PBE level of DFT.

* density of states at the Fermi level: 18.1 states/eV/cell
* SG: C2/m
* formation energy: 168 meV/atom

a = 6.2604 Å, b = 6.2604 Å, c = 15.7946 Å
α = 101.39°, β = 101.39°, γ = 32.74°
Sites, in units of the cell vectors:
La (0.0000, 0.0000, 0.0000)
Pr (0.0406, 0.0406, 0.2306)
Pr (0.2917, 0.2917, 0.1055)
Pr (0.3748, 0.3748, 0.5627)
Pr (0.6252, 0.6252, 0.4373)
Pr (0.7083, 0.7083, 0.8945)
Pr (0.9594, 0.9594, 0.7694)
Sm (0.3323, 0.3323, 0.3341)
Sm (0.6677, 0.6677, 0.6659)


Computed, not measured: an optimized crystal structure of Cs4Au2S at the GGA-PBE level of DFT.

* SG: C2/m
* uncorrected formation energy: -4.12 eV per formula unit

a = 16.7082 Å, b = 4.9509 Å, c = 10.3618 Å
α = 90.00°, β = 122.81°, γ = 90.00°
Sites, in units of the cell vectors:
Cs (0.0460, 0.0000, 0.3545)
Cs (0.1597, 0.5000, 0.0754)
Cs (0.3403, 0.0000, 0.9246)
Cs (0.4540, 0.5000, 0.6455)
Cs (0.5460, 0.5000, 0.3545)
Cs (0.6597, 0.0000, 0.0754)
Cs (0.8403, 0.5000, 0.9246)
Cs (0.9540, 0.0000, 0.6455)
Au (0.1325, 0.5000, 0.6783)
Au (0.3675, 0.0000, 0.3217)
Au (0.6325, 0.0000, 0.6783)
Au (0.8675, 0.5000, 0.3217)
S (0.0000, 0.0000, 0.0000)
S (0.5000, 0.5000, 0.0000)


Computed, not measured: an optimized crystal structure of PuPb5 at the GGA-PBE level of DFT.

* density of states at the Fermi level: 29.1 states/eV/cell
* SG: Cmmm
* formation energy: -24 meV/atom

a = 4.9340 Å, b = 15.2911 Å, c = 4.7701 Å
α = 90.00°, β = 90.00°, γ = 90.00°
Sites, in units of the cell vectors:
Pu (0.0000, 0.0000, 0.0000)
Pu (0.5000, 0.5000, 0.0000)
Pb (0.0000, 0.1653, 0.5000)
Pb (0.0000, 0.3387, 0.0000)
Pb (0.0000, 0.5000, 0.5000)
Pb (0.0000, 0.6613, 0.0000)
Pb (0.0000, 0.8347, 0.5000)
Pb (0.5000, 0.0000, 0.5000)
Pb (0.5000, 0.1613, 0.0000)
Pb (0.5000, 0.3347, 0.5000)
Pb (0.5000, 0.6653, 0.5000)
Pb (0.5000, 0.8387, 0.0000)


Computed, not measured: an optimized crystal structure of DyEr2Tm4 at the GGA-PBE level of DFT.

* density of states at the Fermi level: 22.6 states/eV/cell
* SG: C2/m
* formation energy: 40 meV/atom

a = 16.4054 Å, b = 3.4802 Å, c = 8.5807 Å
α = 90.00°, β = 119.71°, γ = 90.00°
Sites, in units of the cell vectors:
Dy (0.0000, 0.0000, 0.0000)
Dy (0.5000, 0.5000, 0.0000)
Er (0.0702, 0.0000, 0.4300)
Er (0.4298, 0.5000, 0.5700)
Er (0.5702, 0.5000, 0.4300)
Er (0.9298, 0.0000, 0.5700)
Tm (0.1421, 0.5000, 0.8346)
Tm (0.2045, 0.5000, 0.2937)
Tm (0.2955, 0.0000, 0.7063)
Tm (0.3579, 0.0000, 0.1654)
Tm (0.6421, 0.0000, 0.8346)
Tm (0.7045, 0.0000, 0.2937)
Tm (0.7955, 0.5000, 0.7063)
Tm (0.8579, 0.5000, 0.1654)


Computed, not measured: an optimized crystal structure of InI3N at the GGA-PBE level of DFT.

* density of states at the Fermi level: 1.2 states/eV/cell
* SG: C2/m
* uncorrected formation energy: 2.42 eV per formula unit

a = 8.5731 Å, b = 8.5731 Å, c = 7.0358 Å
α = 93.41°, β = 93.41°, γ = 55.18°
Sites, in units of the cell vectors:
In (0.2368, 0.7632, 0.0000)
In (0.7632, 0.2368, 0.0000)
I (0.1227, 0.1227, 0.2692)
I (0.1913, 0.1913, 0.7526)
I (0.4138, 0.4138, 0.2257)
I (0.5862, 0.5862, 0.7743)
I (0.8087, 0.8087, 0.2474)
I (0.8773, 0.8773, 0.7308)
N (0.2253, 0.2253, 0.4736)
N (0.7747, 0.7747, 0.5264)


Computed, not measured: an optimized crystal structure of BaCoTc2 at the GGA-PBE level of DFT.

* density of states at the Fermi level: 4.1 states/eV/cell
* SG: Pmmm
* formation energy: 725 meV/atom

a = 3.1681 Å, b = 3.2033 Å, c = 7.7597 Å
α = 90.00°, β = 90.00°, γ = 90.00°
Sites, in units of the cell vectors:
Ba (0.0000, 0.0000, 0.0000)
Co (0.0000, 0.0000, 0.5000)
Tc (0.5000, 0.5000, 0.3485)
Tc (0.5000, 0.5000, 0.6515)


Computed, not measured: an optimized crystal structure of K2HgSbBr6 at the GGA-PBE level of DFT.

* density of states at the Fermi level: 3.5 states/eV/cell
* SG: R3
* uncorrected formation energy: -9.79 eV per formula unit

a = 8.2302 Å, b = 8.2302 Å, c = 8.2302 Å
α = 57.85°, β = 57.85°, γ = 57.85°
Sites, in units of the cell vectors:
K (0.0000, 0.0000, 0.0000)
K (0.4943, 0.4943, 0.4943)
Hg (0.2849, 0.2849, 0.2849)
Sb (0.7879, 0.7879, 0.7879)
Br (0.0327, 0.4621, 0.6360)
Br (0.1176, 0.9362, 0.5588)
Br (0.4621, 0.6360, 0.0327)
Br (0.5588, 0.1176, 0.9362)
Br (0.6360, 0.0327, 0.4621)
Br (0.9362, 0.5588, 0.1176)


Computed, not measured: an optimized crystal structure of NbAgN2 at the GGA-PBE level of DFT.

* density of states at the Fermi level: 0.0 states/eV/cell
* SG: R-3m
* uncorrected formation energy: -1.04 eV per formula unit

a = 3.1703 Å, b = 3.1703 Å, c = 19.1146 Å
α = 90.00°, β = 90.00°, γ = 120.00°
Sites, in units of the cell vectors:
Nb (0.0000, 0.0000, 0.0000)
Nb (0.3333, 0.6667, 0.6667)
Nb (0.6667, 0.3333, 0.3333)
Ag (0.0000, 0.0000, 0.5000)
Ag (0.3333, 0.6667, 0.1667)
Ag (0.6667, 0.3333, 0.8333)
N (0.0000, 0.0000, 0.3896)
N (0.0000, 0.0000, 0.6104)
N (0.3333, 0.6667, 0.0563)
N (0.3333, 0.6667, 0.2771)
N (0.6667, 0.3333, 0.7229)
N (0.6667, 0.3333, 0.9437)


Computed, not measured: an optimized crystal structure of Cu6PdPt at the GGA-PBE level of DFT.

* density of states at the Fermi level: 2.8 states/eV/cell
* SG: P4/mmm
* formation energy: -126 meV/atom

a = 3.7227 Å, b = 3.7227 Å, c = 7.4491 Å
α = 90.00°, β = 90.00°, γ = 90.00°
Sites, in units of the cell vectors:
Cu (0.0000, 0.0000, 0.0000)
Cu (0.0000, 0.0000, 0.5000)
Cu (0.0000, 0.5000, 0.2501)
Cu (0.0000, 0.5000, 0.7499)
Cu (0.5000, 0.0000, 0.2501)
Cu (0.5000, 0.0000, 0.7499)
Pd (0.5000, 0.5000, 0.0000)
Pt (0.5000, 0.5000, 0.5000)


Computed, not measured: an optimized crystal structure of RbLa2TaSn at the GGA-PBE level of DFT.

* density of states at the Fermi level: 11.9 states/eV/cell
* SG: P4/mmm
* formation energy: 888 meV/atom

a = 6.5741 Å, b = 6.5741 Å, c = 5.4056 Å
α = 90.00°, β = 90.00°, γ = 90.00°
Sites, in units of the cell vectors:
Rb (0.0000, 0.0000, 0.0000)
La (0.0000, 0.5000, 0.5000)
La (0.5000, 0.0000, 0.5000)
Ta (0.5000, 0.5000, 0.0000)
Sn (0.5000, 0.5000, 0.5000)


Computed, not measured: an optimized crystal structure of TeIr2Se at the GGA-PBE level of DFT.

* density of states at the Fermi level: 7.0 states/eV/cell
* SG: I-4m2
* uncorrected formation energy: 2.57 eV per formula unit

a = 3.9546 Å, b = 3.9546 Å, c = 9.0312 Å
α = 90.00°, β = 90.00°, γ = 90.00°
Sites, in units of the cell vectors:
Te (0.0000, 0.0000, 0.0000)
Te (0.5000, 0.5000, 0.5000)
Ir (0.0000, 0.0000, 0.5000)
Ir (0.0000, 0.5000, 0.7500)
Ir (0.5000, 0.0000, 0.2500)
Ir (0.5000, 0.5000, 0.0000)
Se (0.0000, 0.5000, 0.2500)
Se (0.5000, 0.0000, 0.7500)


Computed, not measured: an optimized crystal structure of VGeRu2I at the GGA-PBE level of DFT.

* density of states at the Fermi level: 7.1 states/eV/cell
* SG: P4/mmm
* uncorrected formation energy: 7.20 eV per formula unit

a = 4.6212 Å, b = 4.6212 Å, c = 5.5450 Å
α = 90.00°, β = 90.00°, γ = 90.00°
Sites, in units of the cell vectors:
V (0.0000, 0.0000, 0.0000)
Ge (0.5000, 0.5000, 0.5000)
Ru (0.0000, 0.5000, 0.5000)
Ru (0.5000, 0.0000, 0.5000)
I (0.5000, 0.5000, 0.0000)